# 1
## BaLi2ReNi (PBE)

Data for crystalline BaLi2ReNi at its relaxed geometry.

Results
raw total energy = -2.757 eV per atom
symmetry = P4/mmm (123)

Unit cell a=4.622 b=4.622 c=4.757 alpha=90.00 beta=90.00 gamma=90.00
Fractional coordinates of all 5 atoms:
Ba 0.000 0.000 0.000
Li 0.000 0.500 0.000
Li 0.500 0.000 0.000
Re 0.500 0.500 0.500
Ni 0.000 0.000 0.500

# 2
## BaLiSi2Ni (PBE)

Data for crystalline BaLiSi2Ni at its relaxed geometry.

Results
raw total energy = -2.554 eV per atom
ΔE_f (raw) = 7.692 eV per formula unit
symmetry = P4/mmm (123)

Unit cell a=5.798 b=5.798 c=5.061 alpha=90.00 beta=90.00 gamma=90.00
Fractional coordinates of all 5 atoms:
Ba 0.000 0.000 0.000
Li 0.500 0.500 0.500
Si 0.000 0.500 0.000
Si 0.500 0.000 0.000
Ni 0.000 0.000 0.500

# 3
## Ba2LiNiSn (PBE)

Data for crystalline Ba2LiNiSn at its relaxed geometry.

Results
raw total energy = -3.290 eV per atom
symmetry = P4/mmm (123)

Unit cell a=6.108 b=6.108 c=4.889 alpha=90.00 beta=90.00 gamma=90.00
Fractional coordinates of all 5 atoms:
Ba 0.000 0.500 0.000
Ba 0.500 0.000 0.000
Li 0.000 0.000 0.500
Ni 0.500 0.500 0.000
Sn 0.500 0.500 0.500

# 4
## BaLiNiSn2 (PBE)

Data for crystalline BaLiNiSn2 at its relaxed geometry.

Results
raw total energy = -3.847 eV per atom
symmetry = P4/mmm (123)

Unit cell a=5.028 b=5.028 c=5.124 alpha=90.00 beta=90.00 gamma=90.00
Fractional coordinates of all 5 atoms:
Ba 0.000 0.000 0.000
Li 0.500 0.500 0.000
Ni 0.500 0.500 0.500
Sn 0.000 0.500 0.500
Sn 0.500 0.000 0.500

# 5
## BaLi2NiSn (PBE)

Data for crystalline BaLi2NiSn at its relaxed geometry.

Results
raw total energy = -3.308 eV per atom
symmetry = P4/mmm (123)

Unit cell a=5.076 b=5.076 c=4.869 alpha=90.00 beta=90.00 gamma=90.00
Fractional coordinates of all 5 atoms:
Ba 0.000 0.000 0.000
Li 0.000 0.500 0.500
Li 0.500 0.000 0.500
Ni 0.500 0.500 0.500
Sn 0.500 0.500 0.000

# 6
## Ba2SrLiNi (PBE)

Data for crystalline Ba2SrLiNi at its relaxed geometry.

Results
raw total energy = -2.600 eV per atom
symmetry = P4/mmm (123)

Unit cell a=6.092 b=6.092 c=5.941 alpha=90.00 beta=90.00 gamma=90.00
Fractional coordinates of all 5 atoms:
Ba 0.000 0.500 0.000
Ba 0.500 0.000 0.000
Sr 0.000 0.000 0.500
Li 0.500 0.500 0.500
Ni 0.000 0.000 0.000

# 7
## Ba2SrLiNi (PBE)

Data for crystalline Ba2SrLiNi at its relaxed geometry.

Results
raw total energy = -2.488 eV per atom
symmetry = P4/mmm (123)

Unit cell a=6.082 b=6.082 c=5.529 alpha=90.00 beta=90.00 gamma=90.00
Fractional coordinates of all 5 atoms:
Ba 0.000 0.500 0.000
Ba 0.500 0.000 0.000
Sr 0.000 0.000 0.500
Li 0.500 0.500 0.500
Ni 0.500 0.500 0.000

# 8
## BaSr2LiNi (PBE)

Data for crystalline BaSr2LiNi at its relaxed geometry.

Results
raw total energy = -2.559 eV per atom
symmetry = P4/mmm (123)

Unit cell a=5.898 b=5.898 c=6.034 alpha=90.00 beta=90.00 gamma=90.00
Fractional coordinates of all 5 atoms:
Ba 0.000 0.000 0.000
Sr 0.000 0.500 0.500
Sr 0.500 0.000 0.500
Li 0.500 0.500 0.000
Ni 0.000 0.000 0.500

# 9
## BaSr2LiNi (PBE)

Data for crystalline BaSr2LiNi at its relaxed geometry.

Results
raw total energy = -2.453 eV per atom
symmetry = P4/mmm (123)

Unit cell a=5.841 b=5.841 c=5.588 alpha=90.00 beta=90.00 gamma=90.00
Fractional coordinates of all 5 atoms:
Ba 0.000 0.000 0.000
Sr 0.000 0.500 0.500
Sr 0.500 0.000 0.500
Li 0.500 0.500 0.000
Ni 0.500 0.500 0.500

# 10
## BaLiNiTe2 (PBE)

Data for crystalline BaLiNiTe2 at its relaxed geometry.

Results
raw total energy = -3.868 eV per atom
ΔE_f (raw) = -3.437 eV per formula unit
symmetry = P4/mmm (123)

Unit cell a=5.372 b=5.372 c=4.702 alpha=90.00 beta=90.00 gamma=90.00
Fractional coordinates of all 5 atoms:
Ba 0.000 0.000 0.000
Li 0.500 0.500 0.000
Ni 0.500 0.500 0.500
Te 0.000 0.500 0.500
Te 0.500 0.000 0.500

# 11
## BaLiTl2Ni (PBE)

Data for crystalline BaLiTl2Ni at its relaxed geometry.

Results
raw total energy = -2.996 eV per atom
symmetry = P4/mmm (123)

Unit cell a=5.144 b=5.144 c=5.141 alpha=90.00 beta=90.00 gamma=90.00
Fractional coordinates of all 5 atoms:
Ba 0.000 0.000 0.000
Li 0.500 0.500 0.000
Tl 0.000 0.500 0.500
Tl 0.500 0.000 0.500
Ni 0.500 0.500 0.500

# 12
## BaLi2ZnNi (PBE)

Data for crystalline BaLi2ZnNi at its relaxed geometry.

Results
raw total energy = -2.539 eV per atom
symmetry = P4/mmm (123)

Unit cell a=4.930 b=4.930 c=4.803 alpha=90.00 beta=90.00 gamma=90.00
Fractional coordinates of all 5 atoms:
Ba 0.000 0.000 0.000
Li 0.000 0.500 0.500
Li 0.500 0.000 0.500
Zn 0.500 0.500 0.000
Ni 0.500 0.500 0.500